Entry 1:
{"formula": "CsYTiO4", "functional": "PBE", "state": "relaxed", "cell": [[-0.011, 1.529, -5.754], [-3.570, -4.784, -1.264], [-6.228, 3.652, 3.770]], "species": ["Ti", "Ti", "Y", "Y", "Cs", "Cs", "O", "O", "O", "O", "O", "O", "O", "O"], "fractional_positions": [[0.731, 0.250, 0.646], [0.269, 0.750, 0.354], [0.188, 0.250, 0.539], [0.812, 0.750, 0.461], [0.697, 0.750, 0.934], [0.303, 0.250, 0.066], [0.053, 0.975, 0.344], [0.053, 0.525, 0.344], [0.466, 0.750, 0.222], [0.534, 0.250, 0.778], [0.508, 0.250, 0.437], [0.492, 0.750, 0.563], [0.947, 0.025, 0.656], [0.947, 0.475, 0.656]], "final_energy_ev_per_fu": -55.48, "magnetic_moment_mub_per_fu": 0.0, "n_ef_per_ev_cell": 0.00}

Entry 2:
{"formula": "Cs2YTiO4", "functional": "PBE", "state": "relaxed", "cell": [[-0.470, 1.170, 5.805], [-6.916, 1.582, 2.161], [-2.233, -11.166, 5.109]], "species": ["O", "O", "O", "O", "O", "O", "O", "O", "Y", "Y", "Cs", "Cs", "Cs", "Cs", "Ti", "Ti"], "fractional_positions": [[0.597, 0.152, 0.074], [0.823, 0.848, 0.926], [0.422, 0.652, 0.426], [0.251, 0.152, 0.926], [0.153, 0.348, 0.426], [0.499, 0.348, 0.574], [0.927, 0.652, 0.574], [0.328, 0.848, 0.074], [0.750, 0.500, 0.500], [0.000, 0.000, 0.000], [0.929, 0.500, 0.142], [0.179, 0.000, 0.642], [0.821, 0.000, 0.358], [0.571, 0.500, 0.858], [0.500, 0.000, 0.000], [0.250, 0.500, 0.500]], "final_energy_ev_per_fu": -54.10, "magnetic_moment_mub_per_fu": 0.0, "n_ef_per_ev_cell": 5.83}